1.
Material: KTbSmS3
Method: DFT, PBE-GGA
State: relaxed

Summary:
As for the total energy: -0.3988 Ry/atom. The value obtained for the density is 4.071 g/cm3.

Geometry as CIF:
```
data_KTbSmS3
_cell_length_a 4.434
_cell_length_b 14.851
_cell_length_c 11.015
_cell_angle_alpha 90.00
_cell_angle_beta 90.00
_cell_angle_gamma 90.00
_space_group_name_H-M_alt 'C m c m'
_space_group_IT_number 63
_space_group_name_Hall '-C 2c 2'
loop_
_atom_site_label
_atom_site_type_symbol
_atom_site_fract_x
_atom_site_fract_y
_atom_site_fract_z
_atom_site_occupancy
K1 K 0.000 0.235 0.250 1
Tb1 Tb 0.000 0.030 0.750 1
Sm1 Sm 0.000 0.500 0.000 1
S1 S 0.000 0.121 0.550 1
S2 S 0.000 0.436 0.750 1
```


2.
Material: RbYNp
Method: DFT, PBE-GGA
State: relaxed

Summary:
As for the total energy: -0.3695 Ry/atom. The value obtained for the density is 4.771 g/cm3.

Geometry as CIF:
```
data_RbYNp
_cell_length_a 8.305
_cell_length_b 8.305
_cell_length_c 8.305
_cell_angle_alpha 90.00
_cell_angle_beta 90.00
_cell_angle_gamma 90.00
_space_group_name_H-M_alt 'F -4 3 m'
_space_group_IT_number 216
_space_group_name_Hall 'F -4 2 3'
loop_
_atom_site_label
_atom_site_type_symbol
_atom_site_fract_x
_atom_site_fract_y
_atom_site_fract_z
_atom_site_occupancy
Rb1 Rb 0.000 0.000 0.000 1
Y1 Y 0.250 0.250 0.750 1
Np1 Np 0.000 0.000 0.500 1
```